[1]
Compound: CaBeTe2
Source: the Alexandria database
Functional: PBE-GGA
Structure: relaxed

Cell and atoms, written as POSCAR:
```
CaBeTe2
1.0
5.072 0.000 0.000
0.000 5.072 0.000
0.000 0.000 3.868
Ca Be Te
1 1 2
Direct
0.000 0.000 0.000 Ca
0.500 0.500 0.000 Be
0.000 0.500 0.500 Te
0.500 0.000 0.500 Te
```

Summary:
- Formation energy without anion corrections: -0.8 eV/f.u.
- DOS at the Fermi energy: 2.206 states/eV/cell
- SG: No. 123


[2]
Compound: CaBe2Te
Source: the Alexandria database
Functional: PBE-GGA
Structure: relaxed

Cell and atoms, written as POSCAR:
```
CaBe2Te
1.0
3.947 0.000 0.000
-1.973 3.418 0.000
0.000 0.000 20.036
Ca Be Te
3 6 3
Direct
0.000 0.000 0.000 Ca
0.333 0.667 0.667 Ca
0.667 0.333 0.333 Ca
0.000 0.000 0.231 Be
0.000 0.000 0.769 Be
0.333 0.667 0.436 Be
0.333 0.667 0.897 Be
0.667 0.333 0.103 Be
0.667 0.333 0.564 Be
0.000 0.000 0.500 Te
0.333 0.667 0.167 Te
0.667 0.333 0.833 Te
```

Summary:
- Formation energy without anion corrections: 1.3 eV/f.u.
- DOS at the Fermi energy: 3.345 states/eV/cell
- SG: No. 166


[3]
Compound: CaBe2Te
Source: the Alexandria database
Functional: PBE-GGA
Structure: relaxed

Cell and atoms, written as POSCAR:
```
CaBe2Te
1.0
3.872 0.000 0.000
0.000 3.948 0.000
0.000 0.000 5.823
Ca Be Te
1 2 1
Direct
0.000 0.000 0.000 Ca
0.000 0.500 0.592 Be
0.500 0.500 0.744 Be
0.500 0.500 0.309 Te
```

Summary:
- Formation energy without anion corrections: 0.2 eV/f.u.
- DOS at the Fermi energy: 1.426 states/eV/cell
- SG: No. 25


[4]
Compound: CaBeTe
Source: the Alexandria database
Functional: PBE-GGA
Structure: relaxed

Cell and atoms, written as POSCAR:
```
CaBeTe
1.0
4.871 0.000 0.000
0.000 5.478 0.000
0.000 0.000 10.581
Ca Be Te
4 4 4
Direct
0.000 0.000 0.000 Ca
0.000 0.500 0.500 Ca
0.500 0.000 0.500 Ca
0.500 0.500 0.000 Ca
0.000 0.000 0.300 Be
0.000 0.500 0.800 Be
0.500 0.000 0.800 Be
0.500 0.500 0.300 Be
0.000 0.000 0.706 Te
0.000 0.500 0.206 Te
0.500 0.000 0.206 Te
0.500 0.500 0.706 Te
```

Summary:
- Formation energy without anion corrections: -0.5 eV/f.u.
- DOS at the Fermi energy: 5.186 states/eV/cell
- Energy above the most stable polymorph in this dataset: 239 meV per atom
- SG: No. 42


[5]
Compound: Ca2BeTe
Source: the Alexandria database
Functional: PBE-GGA
Structure: relaxed

Cell and atoms, written as POSCAR:
```
Ca2BeTe
1.0
3.823 0.000 0.000
0.000 4.793 0.000
0.000 0.000 11.408
Ca Be Te
4 2 2
Direct
0.000 0.000 0.000 Ca
0.000 0.500 0.222 Ca
0.500 0.000 0.722 Ca
0.500 0.500 0.500 Ca
0.000 0.500 0.762 Be
0.500 0.000 0.262 Be
0.000 0.000 0.420 Te
0.500 0.500 0.920 Te
```

Summary:
- Formation energy without anion corrections: -1.2 eV/f.u.
- DOS at the Fermi energy: 6.434 states/eV/cell
- Energy above the most stable polymorph in this dataset: 132 meV per atom
- SG: No. 44


[6]
Compound: CaBeTe3
Source: the Alexandria database
Functional: PBE-GGA
Structure: relaxed

Cell and atoms, written as POSCAR:
```
CaBeTe3
1.0
5.140 0.000 0.000
0.000 5.140 0.000
0.000 0.000 5.140
Ca Be Te
1 1 3
Direct
0.000 0.000 0.000 Ca
0.500 0.500 0.500 Be
0.000 0.500 0.500 Te
0.500 0.000 0.500 Te
0.500 0.500 0.000 Te
```

Summary:
- Formation energy without anion corrections: -1.4 eV/f.u.
- DOS at the Fermi energy: 4.449 states/eV/cell
- Energy above the most stable polymorph in this dataset: 0 meV per atom
- SG: No. 221


[7]
Compound: Ca2BeTe
Source: the Alexandria database
Functional: PBE-GGA
Structure: relaxed

Cell and atoms, written as POSCAR:
```
Ca2BeTe
1.0
7.490 0.000 0.000
0.000 7.490 0.000
0.000 0.000 7.490
Ca Be Te
8 4 4
Direct
0.250 0.250 0.250 Ca
0.250 0.250 0.750 Ca
0.250 0.750 0.250 Ca
0.250 0.750 0.750 Ca
0.750 0.250 0.250 Ca
0.750 0.250 0.750 Ca
0.750 0.750 0.250 Ca
0.750 0.750 0.750 Ca
0.000 0.000 0.000 Be
0.000 0.500 0.500 Be
0.500 0.000 0.500 Be
0.500 0.500 0.000 Be
0.000 0.000 0.500 Te
0.000 0.500 0.000 Te
0.500 0.000 0.000 Te
0.500 0.500 0.500 Te
```

Summary:
- Formation energy without anion corrections: -0.9 eV/f.u.
- DOS at the Fermi energy: 16.503 states/eV/cell
- Energy above the most stable polymorph in this dataset: 204 meV per atom
- SG: No. 225


[8]
Compound: CaBe2Te
Source: the Alexandria database
Functional: PBE-GGA
Structure: relaxed

Cell and atoms, written as POSCAR:
```
CaBe2Te
1.0
4.961 0.000 0.000
0.000 5.034 0.000
0.000 0.000 6.377
Ca Be Te
2 4 2
Direct
0.000 0.000 0.000 Ca
0.500 0.500 0.000 Ca
0.000 0.000 0.444 Be
0.000 0.500 0.316 Be
0.500 0.000 0.316 Be
0.500 0.500 0.444 Be
0.000 0.500 0.688 Te
0.500 0.000 0.688 Te
```

Summary:
- Formation energy without anion corrections: 0.8 eV/f.u.
- DOS at the Fermi energy: 2.602 states/eV/cell
- SG: No. 35


[9]
Compound: CaBeTe2
Source: the Alexandria database
Functional: PBE-GGA
Structure: relaxed

Cell and atoms, written as POSCAR:
```
CaBeTe2
1.0
4.068 0.000 0.000
-2.034 3.523 0.000
0.000 0.000 24.400
Ca Be Te
3 3 6
Direct
0.000 0.000 0.000 Ca
0.333 0.667 0.667 Ca
0.667 0.333 0.333 Ca
0.000 0.000 0.237 Be
0.333 0.667 0.904 Be
0.667 0.333 0.570 Be
0.000 0.000 0.550 Te
0.000 0.000 0.745 Te
0.333 0.667 0.217 Te
0.333 0.667 0.412 Te
0.667 0.333 0.079 Te
0.667 0.333 0.883 Te
```

Summary:
- Formation energy without anion corrections: -1.7 eV/f.u.
- DOS at the Fermi energy: 5.492 states/eV/cell
- SG: No. 160


[10]
Compound: CaBe2Te
Source: the Alexandria database
Functional: PBE-GGA
Structure: relaxed

Cell and atoms, written as POSCAR:
```
CaBe2Te
1.0
9.529 0.000 0.000
0.000 3.936 0.000
-2.005 0.000 4.701
Ca Be Te
2 4 2
Direct
0.000 0.000 0.000 Ca
0.500 0.500 0.000 Ca
0.244 0.000 0.572 Be
0.256 0.500 0.428 Be
0.744 0.500 0.572 Be
0.756 0.000 0.428 Be
0.000 0.500 0.500 Te
0.500 0.000 0.500 Te
```

Summary:
- Formation energy without anion corrections: 0.9 eV/f.u.
- DOS at the Fermi energy: 3.801 states/eV/cell
- SG: No. 12


[11]
Compound: Ca2BeTe
Source: the Alexandria database
Functional: PBE-GGA
Structure: relaxed

Cell and atoms, written as POSCAR:
```
Ca2BeTe
1.0
7.552 0.000 0.000
0.000 7.552 0.000
0.000 0.000 7.552
Ca Be Te
8 4 4
Direct
0.000 0.000 0.000 Ca
0.000 0.500 0.500 Ca
0.250 0.250 0.250 Ca
0.250 0.750 0.750 Ca
0.500 0.000 0.500 Ca
0.500 0.500 0.000 Ca
0.750 0.250 0.750 Ca
0.750 0.750 0.250 Ca
0.000 0.000 0.500 Be
0.000 0.500 0.000 Be
0.500 0.000 0.000 Be
0.500 0.500 0.500 Be
0.250 0.250 0.750 Te
0.250 0.750 0.250 Te
0.750 0.250 0.250 Te
0.750 0.750 0.750 Te
```

Summary:
- Formation energy without anion corrections: 0.6 eV/f.u.
- DOS at the Fermi energy: 10.054 states/eV/cell
- Energy above the most stable polymorph in this dataset: 586 meV per atom
- SG: No. 216


[12]
Compound: CaBeTe
Source: the Alexandria database
Functional: PBE-GGA
Structure: relaxed

Cell and atoms, written as POSCAR:
```
CaBeTe
1.0
7.127 0.000 0.000
0.000 7.127 0.000
0.000 0.000 7.127
Ca Be Te
4 4 4
Direct
0.000 0.000 0.000 Ca
0.000 0.500 0.500 Ca
0.500 0.000 0.500 Ca
0.500 0.500 0.000 Ca
0.250 0.250 0.750 Be
0.250 0.750 0.250 Be
0.750 0.250 0.250 Be
0.750 0.750 0.750 Be
0.250 0.250 0.250 Te
0.250 0.750 0.750 Te
0.750 0.250 0.750 Te
0.750 0.750 0.250 Te
```

Summary:
- Formation energy without anion corrections: 0.1 eV/f.u.
- Energy above the most stable polymorph in this dataset: 426 meV per atom
- SG: No. 216